Entry 1:
## CsNaCdAu (GGA-PBE)

Data for a geometry-optimized CsNaCdAu structure.

Computed properties:
density = 5.30 Mg/m³
ΔE_f = -41.1 meV per atom
polymorph energy (0 for the lowest one) = 0.1643 eV per atom
SG = F-43m (216)

The structure in CIF format:
```
data_CsNaCdAu
_space_group_name_H-M_alt 'P 1'
_space_group_IT_number 1
_cell_length_a 5.9063
_cell_length_b 5.9063
_cell_length_c 5.9063
_cell_angle_alpha 60.00
_cell_angle_beta 60.00
_cell_angle_gamma 60.00
loop_
_space_group_symop_operation_xyz
'x,y,z'
loop_
_atom_site_label
_atom_site_type_symbol
_atom_site_fract_x
_atom_site_fract_y
_atom_site_fract_z
Cs1 Cs 0.0000 0.0000 0.0000
Na1 Na 0.5000 0.5000 0.5000
Cd1 Cd 0.7500 0.7500 0.7500
Au1 Au 0.2500 0.2500 0.2500
```


Entry 2:
## TbDyIn2 (GGA-PBE)

Data for a geometry-optimized TbDyIn2 structure.

Computed properties:
density = 8.55 Mg/m³
ΔE_f = -472.1 meV per atom
SG = P4/mmm (123)

The structure in CIF format:
```
data_TbDyIn2
_space_group_name_H-M_alt 'P 1'
_space_group_IT_number 1
_cell_length_a 3.7671
_cell_length_b 3.7671
_cell_length_c 7.5388
_cell_angle_alpha 90.00
_cell_angle_beta 90.00
_cell_angle_gamma 90.00
loop_
_space_group_symop_operation_xyz
'x,y,z'
loop_
_atom_site_label
_atom_site_type_symbol
_atom_site_fract_x
_atom_site_fract_y
_atom_site_fract_z
Tb1 Tb 0.0000 0.0000 0.0000
Dy1 Dy 0.0000 0.0000 0.5000
In1 In 0.5000 0.5000 0.2516
In2 In 0.5000 0.5000 0.7484
```


Entry 3:
## NaTcSN2 (GGA-PBE)

Data for a geometry-optimized NaTcSN2 structure.

Computed properties:
density = 3.72 Mg/m³
polymorph energy (0 for the lowest one) = 2.3157 eV per atom
SG = P4/mmm (123)
E_form (uncorrected) = 2.4717 eV per atom

The structure in CIF format:
```
data_NaTcSN2
_space_group_name_H-M_alt 'P 1'
_space_group_IT_number 1
_cell_length_a 4.0407
_cell_length_b 4.0407
_cell_length_c 4.9539
_cell_angle_alpha 90.00
_cell_angle_beta 90.00
_cell_angle_gamma 90.00
loop_
_space_group_symop_operation_xyz
'x,y,z'
loop_
_atom_site_label
_atom_site_type_symbol
_atom_site_fract_x
_atom_site_fract_y
_atom_site_fract_z
Na1 Na 0.0000 0.0000 0.0000
Tc1 Tc 0.5000 0.5000 0.5000
S1 S 0.0000 0.0000 0.5000
N1 N 0.0000 0.5000 0.0000
N2 N 0.5000 0.0000 0.0000
```


no.,calculated total energy (eV per atom)
1,-1.63
2,-4.15
3,-4.02